# 1
! AlVGa4, optimized geometry, DFT PBE; values from VASP
! - M_tot: 0.244 μB/atom
! - Energy of formation from the pure elements: 0.005 eV per atom
! - Symmetry: No. 47
&SYSTEM
  ibrav = 0, nat = 12, ntyp = 3
/
ATOMIC_SPECIES
Al 26.98 Al.upf
V 50.94 V.upf
Ga 69.72 Ga.upf
CELL_PARAMETERS angstrom
5.9130 0.0000 0.0000
0.0000 6.0651 0.0000
0.0000 0.0000 5.8672
ATOMIC_POSITIONS angstrom
Al 0.0000 0.0000 0.0000
Al 2.9565 0.0000 2.9336
V 0.0000 3.0326 0.0000
V 0.0000 0.0000 2.9336
Ga 1.6273 1.6954 1.4680
Ga 1.6273 4.3697 4.3992
Ga 4.2857 1.6954 4.3992
Ga 4.2857 4.3697 1.4680
Ga 4.2868 4.3690 4.3976
Ga 4.2868 1.6961 1.4696
Ga 1.6262 4.3690 1.4696
Ga 1.6262 1.6961 4.3976


# 2
! AlVGa, optimized geometry, DFT PBE; values from VASP
! - M_tot: 0.000 μB/atom
! - Energy of formation from the pure elements: -0.168 eV per atom
! - Symmetry: No. 99
&SYSTEM
  ibrav = 0, nat = 3, ntyp = 3
/
ATOMIC_SPECIES
Al 26.98 Al.upf
Ga 69.72 Ga.upf
V 50.94 V.upf
CELL_PARAMETERS angstrom
-0.7123 -1.9414 -1.7406
-0.7040 -1.5941 2.0662
-5.9855 2.3788 -0.2040
ATOMIC_POSITIONS angstrom
Al -0.4836 0.1922 -0.0165
Ga -4.0854 1.6237 -0.1392
V -2.9709 -0.8685 0.0857


# 3
! Al5V4Ga, optimized geometry, DFT PBE; values from VASP
! - M_tot: 0.000 μB/atom
! - Energy of formation from the pure elements: 0.084 eV per atom
! - Symmetry: No. 12
&SYSTEM
  ibrav = 0, nat = 10, ntyp = 3
/
ATOMIC_SPECIES
Al 26.98 Al.upf
V 50.94 V.upf
Ga 69.72 Ga.upf
CELL_PARAMETERS angstrom
-1.5607 1.8818 1.1557
-6.7914 -5.2900 -0.5575
2.1474 -3.6419 5.6664
ATOMIC_POSITIONS angstrom
Al -1.9536 -3.1327 2.4629
Al -5.1429 -5.0405 1.2623
Al -1.0618 -2.0097 5.0023
Al -4.1760 -1.7041 0.2991
Al -4.2511 -3.9174 3.8017
V -0.9008 -0.5660 2.8689
V -1.5426 -1.5725 0.4774
V -5.3038 -6.4841 3.3958
V -4.6620 -5.4776 5.7872
Ga -0.7803 0.9409 0.5778


# 4
! AlV8Ga2, optimized geometry, DFT PBE; values from VASP
! - M_tot: 0.000 μB/atom
! - Energy of formation from the pure elements: -0.156 eV per atom
! - Symmetry: No. 12
&SYSTEM
  ibrav = 0, nat = 11, ntyp = 3
/
ATOMIC_SPECIES
Al 26.98 Al.upf
V 50.94 V.upf
Ga 69.72 Ga.upf
CELL_PARAMETERS angstrom
4.2783 0.0000 0.0000
0.0000 6.5156 -0.1298
-2.1392 -2.9232 5.5307
ATOMIC_POSITIONS angstrom
Al 2.1392 0.0000 0.0000
V 0.0000 1.1695 4.4589
V 2.1392 4.7327 1.8745
V 2.1392 3.2051 3.8491
V 2.1392 -1.0062 5.1058
V 0.0000 0.3873 1.5518
V 0.0000 -1.1403 3.5264
V 2.1392 2.4229 0.9419
V 0.0000 4.5987 0.2950
Ga 2.1392 0.6244 3.0833
Ga 0.0000 2.9681 2.3175


# 5
! AlV7Ga3, optimized geometry, DFT PBE; values from VASP
! - M_tot: 0.000 μB/atom
! - Energy of formation from the pure elements: 0.035 eV per atom
! - Symmetry: No. 63
&SYSTEM
  ibrav = 0, nat = 22, ntyp = 3
/
ATOMIC_SPECIES
Al 26.98 Al.upf
V 50.94 V.upf
Ga 69.72 Ga.upf
CELL_PARAMETERS angstrom
-0.6482 -1.2931 -2.1333
8.7095 -4.7286 1.7768
-6.0987 -8.5821 7.0553
ATOMIC_POSITIONS angstrom
Al 6.2611 -7.9906 1.3839
Al -4.2984 -6.6132 5.3148
V 1.9590 -10.6243 5.8447
V 0.0036 -3.9795 0.8540
V -2.2737 -4.5881 1.9150
V 4.2363 -10.0156 4.7838
V 2.2166 -12.8578 7.1203
V -0.2539 -1.7460 -0.4216
V 4.3746 -7.8477 3.4276
V -2.4120 -6.7561 3.2711
V 2.1838 -6.5566 3.3107
V -0.2212 -8.0472 3.3880
V -2.2072 -10.8419 5.6855
V 4.1698 -3.7619 1.0132
V 6.2501 -5.2085 1.2580
V -4.2874 -9.3952 5.4407
Ga -0.0612 -5.3221 3.2446
Ga 2.0238 -9.2816 3.4541
Ga -1.8387 -8.1899 5.5231
Ga 3.8014 -6.4139 1.1756
Ga 2.1246 -2.2463 0.7160
Ga -0.1620 -12.3575 5.9827


# 6
! Al4VGa2, optimized geometry, DFT PBE; values from VASP
! - M_tot: 0.030 μB/atom
! - Energy of formation from the pure elements: 0.501 eV per atom
! - Symmetry: No. 139
&SYSTEM
  ibrav = 0, nat = 7, ntyp = 3
/
ATOMIC_SPECIES
Al 26.98 Al.upf
Ga 69.72 Ga.upf
V 50.94 V.upf
CELL_PARAMETERS angstrom
-3.1654 3.4527 1.6136
-1.8835 0.4063 -4.5643
-6.7221 -2.5423 -0.1412
ATOMIC_POSITIONS angstrom
Al -5.1311 -0.8474 -0.6469
Al -6.6399 2.1641 -2.4450
Al -0.9417 0.2031 -2.2821
Al -1.5827 1.7264 0.8068
Ga -3.4296 0.9652 -1.1877
Ga -8.3414 0.3515 -1.9042
V 0.0000 0.0000 0.0000


# 7
! AlVGa, optimized geometry, DFT PBE; values from VASP
! - M_tot: 0.149 μB/atom
! - Energy of formation from the pure elements: 0.009 eV per atom
! - Symmetry: No. 63
&SYSTEM
  ibrav = 0, nat = 6, ntyp = 3
/
ATOMIC_SPECIES
Al 26.98 Al.upf
V 50.94 V.upf
Ga 69.72 Ga.upf
CELL_PARAMETERS angstrom
-1.5175 -3.6086 -0.2193
4.4348 0.3785 -1.8674
2.0783 -1.1596 4.7006
ATOMIC_POSITIONS angstrom
Al 0.2804 -2.3841 2.2406
Al -0.7588 -1.8043 -0.1097
V 1.5564 -0.6920 0.6175
V 3.4393 -3.6977 1.9963
Ga 2.7414 -1.3284 2.8894
Ga 2.2543 -3.0613 -0.2755


# 8
! Al6VGa2, optimized geometry, DFT PBE; values from VASP
! - M_tot: 0.121 μB/atom
! - Energy of formation from the pure elements: 0.094 eV per atom
! - Symmetry: No. 12
&SYSTEM
  ibrav = 0, nat = 9, ntyp = 3
/
ATOMIC_SPECIES
Al 26.98 Al.upf
V 50.94 V.upf
Ga 69.72 Ga.upf
CELL_PARAMETERS angstrom
6.5368 0.5470 0.3166
0.8636 5.2877 0.0144
0.8636 2.6469 4.5775
ATOMIC_POSITIONS angstrom
Al 2.8887 4.1551 3.9226
Al 4.0083 6.6583 3.8533
Al 2.8887 5.4713 1.6484
Al 5.3754 4.3264 0.9859
Al 4.2557 1.8233 1.0552
Al 5.3754 3.0103 3.2601
V 0.0000 0.0000 0.0000
Ga 6.9127 5.5988 3.2401
Ga 1.3514 2.8828 1.6684


# 9
! Al4V2Ga, optimized geometry, DFT PBE; values from VASP
! - M_tot: 0.000 μB/atom
! - Energy of formation from the pure elements: -0.107 eV per atom
! - Symmetry: No. 1
&SYSTEM
  ibrav = 0, nat = 14, ntyp = 3
/
ATOMIC_SPECIES
Al 26.98 Al.upf
V 50.94 V.upf
Ga 69.72 Ga.upf
CELL_PARAMETERS angstrom
7.6369 -0.4696 1.0608
-0.8910 6.5347 -1.6886
-2.0565 -4.5185 5.2577
ATOMIC_POSITIONS angstrom
Al 6.3823 -0.9236 1.8245
Al 3.0138 1.9013 0.2363
Al 5.0758 -0.8910 4.4002
Al 3.6627 -3.2420 4.4421
Al 1.7741 -0.4443 1.4247
Al 0.5144 3.6568 0.8220
Al 1.3188 1.4204 3.6311
Al 5.3096 3.1939 1.3876
V 2.5262 -0.8817 3.9527
V 3.0201 4.5892 0.4953
V 3.9237 0.8552 2.5911
V -0.0761 -0.8622 3.6499
Ga -0.8558 1.5871 2.1461
Ga -1.6599 -3.1430 4.7222


# 10
! Al6VGa12, optimized geometry, DFT PBE; values from VASP
! - M_tot: 0.000 μB/atom
! - Energy of formation from the pure elements: 0.017 eV per atom
! - Symmetry: No. 148
&SYSTEM
  ibrav = 0, nat = 19, ntyp = 3
/
ATOMIC_SPECIES
Al 26.98 Al.upf
V 50.94 V.upf
Ga 69.72 Ga.upf
CELL_PARAMETERS angstrom
7.0046 -0.1322 -0.8939
-0.9985 6.9343 -0.8939
-0.1168 -0.1322 7.0604
ATOMIC_POSITIONS angstrom
Al 0.5120 1.6037 5.1417
Al 4.9378 1.3443 5.3302
Al 0.6107 5.9633 4.3205
Al 5.3774 5.0662 0.1310
Al 0.9516 5.3256 -0.0576
Al 5.2787 0.7066 0.9522
V 0.0000 0.0000 0.0000
Ga 3.5579 1.2341 2.8549
Ga 0.8248 3.3575 3.2217
Ga 2.9239 3.6833 0.4648
Ga 2.3315 5.4357 2.4177
Ga 5.0646 3.3124 2.0509
Ga 2.9654 2.9866 4.8078
Ga 4.8650 6.2004 2.7003
Ga 2.5941 1.0746 0.0535
Ga 0.1353 2.7071 0.7347
Ga 1.0244 0.4694 2.5724
Ga 3.2953 5.5952 5.2191
Ga 5.7541 3.9627 4.5379


# 11
! AlVGa, optimized geometry, DFT PBE; values from VASP
! - M_tot: 0.239 μB/atom
! - Energy of formation from the pure elements: -0.080 eV per atom
! - Symmetry: No. 43
&SYSTEM
  ibrav = 0, nat = 6, ntyp = 3
/
ATOMIC_SPECIES
Al 26.98 Al.upf
V 50.94 V.upf
Ga 69.72 Ga.upf
CELL_PARAMETERS angstrom
-2.1808 2.6649 -3.5381
-4.6122 -0.7387 -1.1583
-2.3278 4.3263 1.2486
ATOMIC_POSITIONS angstrom
Al -4.6795 1.1954 -3.1048
Al -4.0825 4.3941 -2.7859
V -2.3919 0.5670 -1.5433
V -6.4071 3.0270 -2.3827
Ga -2.2594 2.6187 -3.5245
Ga -4.0937 2.4138 -0.8258


# 12
! Al3V4Ga2, optimized geometry, DFT PBE; values from VASP
! - M_tot: 0.000 μB/atom
! - Energy of formation from the pure elements: -0.149 eV per atom
! - Symmetry: No. 12
&SYSTEM
  ibrav = 0, nat = 9, ntyp = 3
/
ATOMIC_SPECIES
Al 26.98 Al.upf
V 50.94 V.upf
Ga 69.72 Ga.upf
CELL_PARAMETERS angstrom
4.3755 0.0000 0.0000
-2.1878 4.4349 0.1564
0.0000 -1.5746 6.6283
ATOMIC_POSITIONS angstrom
Al 0.0000 2.9258 4.5527
Al 0.0000 0.0000 0.0000
Al 2.1878 -0.0654 2.2321
V 2.1878 1.5500 0.1430
V 0.0000 0.0428 4.3110
V 2.1878 2.8176 2.4737
V 0.0000 1.3103 6.6417
Ga 0.0000 1.4374 2.1004
Ga 2.1878 1.4229 4.6843